1.
First-principles (GGA-PBE) data for a relaxed KCrIn crystal, as listed in Alexandria via LeMat-Bulk.

**Size of the total moment**: 3.9 μB per formula unit
**Density**: 3.769 g cm⁻³
**D(E_F)**: 1.60 states/eV/cell

Cell and atoms, written as POSCAR:
```
KCrIn
1.0
-1.5976 2.2625 6.2741
1.5976 -2.2625 6.2741
1.5976 2.2625 -6.2741
K Cr In
1 1 1
Cartesian
0.0000 0.0000 0.0000
0.0000 0.0000 9.1859
0.0000 0.0000 3.4895
```

***

2.
First-principles (GGA-PBE) data for a relaxed KCrIn crystal, as listed in Alexandria via LeMat-Bulk.

**Size of the total moment**: 4.6 μB per formula unit
**Density**: 4.018 g cm⁻³
**D(E_F)**: 1.69 states/eV/cell

Cell and atoms, written as POSCAR:
```
KCrIn
1.0
5.4664 0.0000 0.0000
-2.7332 4.7341 0.0000
0.0000 0.0000 3.2887
K Cr In
1 1 1
Cartesian
0.0000 0.0000 0.0000
2.7332 1.5780 1.6444
0.0000 3.1561 1.6444
```

***

Ranked by calculated energy, most stable first: 1, 2.

***

1.
First-principles (GGA-PBE) data for a relaxed KCr2InSe crystal, as listed in Alexandria via LeMat-Bulk.

**Size of the total moment**: 8.8 μB per formula unit
**Density**: 3.599 g cm⁻³
**D(E_F)**: 2.09 states/eV/cell

Cell and atoms, written as POSCAR:
```
KCr2InSe
1.0
4.9676 0.0000 0.0000
0.0000 4.9676 0.0000
0.0000 0.0000 6.2979
K Cr In Se
1 2 1 1
Cartesian
0.0000 0.0000 0.0000
0.0000 2.4838 3.1490
2.4838 0.0000 3.1490
2.4838 2.4838 0.0000
2.4838 2.4838 3.1490
```

***

2.
First-principles (GGA-PBE) data for a relaxed KCr2InSe crystal, as listed in Alexandria via LeMat-Bulk.

**Size of the total moment**: 9.8 μB per formula unit
**Density**: 3.447 g cm⁻³
**D(E_F)**: 2.72 states/eV/cell

Cell and atoms, written as POSCAR:
```
KCr2InSe
1.0
5.3115 0.0000 0.0000
0.0000 5.3115 0.0000
0.0000 0.0000 5.7529
K Cr In Se
1 2 1 1
Cartesian
0.0000 0.0000 0.0000
0.0000 2.6557 2.8765
2.6557 0.0000 2.8765
2.6557 2.6557 2.8765
2.6557 2.6557 0.0000
```

***

Ranked by calculated energy, most stable first: 1, 2.

***

1.
First-principles (GGA-PBE) data for a relaxed LiCr4InS8 crystal, as listed in Alexandria via LeMat-Bulk.

**Size of the total moment**: 12.0 μB per formula unit
**Density**: 3.652 g cm⁻³
**D(E_F)**: 4.13 states/eV/cell

Cell and atoms, written as POSCAR:
```
LiCr4InS8
1.0
0.0000 5.1082 5.1082
5.1082 0.0000 5.1082
5.1082 5.1082 0.0000
Li Cr In S
1 4 1 8
Cartesian
0.0000 0.0000 0.0000
3.7853 3.7853 3.7853
6.4311 6.4311 3.7853
6.4311 3.7853 6.4311
3.7853 6.4311 6.4311
7.6623 7.6623 7.6623
1.4077 1.4077 1.4077
3.7005 3.7005 1.4077
3.7005 1.4077 3.7005
6.2290 3.9874 3.9874
1.4077 3.7005 3.7005
3.9874 6.2290 3.9874
3.9874 3.9874 6.2290
6.2290 6.2290 6.2290
```

***

2.
First-principles (GGA-PBE) data for a relaxed LiCr4InS8 crystal, as listed in Alexandria via LeMat-Bulk.

**Size of the total moment**: 12.0 μB per formula unit
**Density**: 3.670 g cm⁻³
**D(E_F)**: 5.11 states/eV/cell

Cell and atoms, written as POSCAR:
```
LiCr4InS8
1.0
3.5532 2.0514 6.0658
-3.5532 2.0514 6.0658
0.0000 -4.1029 6.0658
Li Cr In S
1 4 1 8
Cartesian
0.0000 0.0000 0.0000
0.0000 -2.1030 9.7910
-1.8213 1.0515 9.7910
0.0000 0.0000 13.5227
1.8213 1.0515 9.7909
0.0000 0.0000 6.6405
0.0000 -1.9797 5.0100
-1.7145 0.9899 5.0100
0.0000 0.0000 2.4383
-1.7168 -0.9912 8.4191
1.7145 0.9899 5.0100
0.0000 0.0000 11.1224
1.7168 -0.9912 8.4191
0.0000 1.9824 8.4191
```

***

Ranked by calculated energy, most stable first: 1, 2.